1.
# CrCoO2, relaxed, DFT GGA+U
# - offset from the most stable computed form (meV per atom) = 1056.1
data_CrCoO2
_chemical_formula_sum 'Cr4 Co4 O8'
_symmetry_space_group_name_H-M 'F m -3 m'
_symmetry_Int_Tables_number 225
_symmetry_space_group_name_Hall '-F 4 2 3'
_cell_length_a 5.245
_cell_length_b 5.245
_cell_length_c 5.245
_cell_angle_alpha 90.00
_cell_angle_beta 90.00
_cell_angle_gamma 90.00
loop_
_atom_site_label
_atom_site_fract_x
_atom_site_fract_y
_atom_site_fract_z
_atom_site_occupancy
Cr1 0.000 0.000 0.000 1
Co1 0.000 0.000 0.500 1
O1 0.250 0.250 0.250 1

2.
# Cr3Co5O16, relaxed, DFT GGA+U
# - energy (eV/atom) = -6.26
data_Cr3Co5O16
_chemical_formula_sum 'Cr6 Co10 O32'
_symmetry_space_group_name_H-M 'C 1 m 1'
_symmetry_Int_Tables_number 8
_cell_length_a 9.882
_cell_length_b 5.764
_cell_length_c 8.587
_cell_angle_alpha 90.00
_cell_angle_beta 90.14
_cell_angle_gamma 90.00
loop_
_symmetry_equiv_pos_as_xyz
'x,y,z'
'x,-y,z'
'x+1/2,y+1/2,z'
'x+1/2,-y+1/2,z'
loop_
_atom_site_label
_atom_site_fract_x
_atom_site_fract_y
_atom_site_fract_z
_atom_site_occupancy
Cr1 0.000 0.000 0.000 1
Cr2 0.081 0.249 0.503 1
Co1 0.247 0.255 0.008 1
Co2 0.326 0.500 0.280 1
Co3 0.334 0.000 0.512 1
Co4 0.490 0.000 0.786 1
O1 0.077 0.252 0.901 1
O2 0.131 0.500 0.642 1
O3 0.170 0.000 0.115 1
O4 0.170 0.000 0.614 1
O5 0.182 0.500 0.138 1
O6 0.245 0.256 0.401 1
O7 0.322 0.500 0.896 1
O8 0.331 0.000 0.902 1
O9 0.398 0.285 0.141 1
O10 0.419 0.214 0.643 1
O11 0.484 0.500 0.407 1
O12 0.488 0.000 0.393 1

3.
# Cr3CoP4O16, relaxed, DFT GGA+U
# - energy (eV/atom) = -7.34
data_Cr3CoP4O16
_chemical_formula_sum 'Cr3 Co1 P4 O16'
_symmetry_space_group_name_H-M 'P 1 m 1'
_symmetry_Int_Tables_number 6
_cell_length_a 4.779
_cell_length_b 5.749
_cell_length_c 9.893
_cell_angle_alpha 90.00
_cell_angle_beta 90.17
_cell_angle_gamma 90.00
loop_
_symmetry_equiv_pos_as_xyz
'x,y,z'
'x,-y,z'
loop_
_atom_site_label
_atom_site_fract_x
_atom_site_fract_y
_atom_site_fract_z
_atom_site_occupancy
Cr1 0.000 0.000 0.000 1
Cr2 0.095 0.500 0.544 1
Cr3 0.596 0.000 0.502 1
Co1 0.483 0.500 0.048 1
P1 0.157 0.000 0.683 1
P2 0.447 0.000 0.183 1
P3 0.654 0.500 0.362 1
P4 0.934 0.500 0.864 1
O1 0.226 0.000 0.833 1
O2 0.251 0.500 0.888 1
O3 0.294 0.207 0.105 1
O4 0.310 0.208 0.606 1
O5 0.340 0.500 0.386 1
O6 0.374 0.000 0.332 1
O7 0.719 0.500 0.212 1
O8 0.761 0.000 0.161 1
O9 0.785 0.290 0.939 1
O10 0.808 0.292 0.439 1
O11 0.843 0.000 0.660 1
O12 0.872 0.500 0.713 1

Repeat the third record exactly.
# Cr3CoP4O16, relaxed, DFT GGA+U
# - energy (eV/atom) = -7.34
data_Cr3CoP4O16
_chemical_formula_sum 'Cr3 Co1 P4 O16'
_symmetry_space_group_name_H-M 'P 1 m 1'
_symmetry_Int_Tables_number 6
_cell_length_a 4.779
_cell_length_b 5.749
_cell_length_c 9.893
_cell_angle_alpha 90.00
_cell_angle_beta 90.17
_cell_angle_gamma 90.00
loop_
_symmetry_equiv_pos_as_xyz
'x,y,z'
'x,-y,z'
loop_
_atom_site_label
_atom_site_fract_x
_atom_site_fract_y
_atom_site_fract_z
_atom_site_occupancy
Cr1 0.000 0.000 0.000 1
Cr2 0.095 0.500 0.544 1
Cr3 0.596 0.000 0.502 1
Co1 0.483 0.500 0.048 1
P1 0.157 0.000 0.683 1
P2 0.447 0.000 0.183 1
P3 0.654 0.500 0.362 1
P4 0.934 0.500 0.864 1
O1 0.226 0.000 0.833 1
O2 0.251 0.500 0.888 1
O3 0.294 0.207 0.105 1
O4 0.310 0.208 0.606 1
O5 0.340 0.500 0.386 1
O6 0.374 0.000 0.332 1
O7 0.719 0.500 0.212 1
O8 0.761 0.000 0.161 1
O9 0.785 0.290 0.939 1
O10 0.808 0.292 0.439 1
O11 0.843 0.000 0.660 1
O12 0.872 0.500 0.713 1

Number 1 is which compound?
CrCoO2